Record 1
Here is an optimized crystal structure of SeIF2 from the Alexandria database. Energies are from PBE.

The structure belongs to space group P1 (No. 1); the cell edges are 4.776, 5.654 and 9.737 Å and the angles 89.47°, 77.84° and 76.28°. The distinct sites, in fractional coordinates, are Se at (0.000, 0.000, 0.000), Se at (0.140, 0.695, 0.823), I at (0.292, 0.342, 0.402), I at (0.398, 0.793, 0.316), F at (0.062, 0.900, 0.684), F at (0.231, 0.572, 0.001), F at (0.525, 0.671, 0.759) and F at (0.852, 0.267, 0.913).

Its energy relative to the elements, uncorrected is -0.952 eV/atom.


Record 2
Here is an optimized crystal structure of SeIF2 from the Alexandria database. Energies are from PBE.

The structure belongs to space group P1 (No. 1); the cell edges are 5.194, 6.873 and 7.861 Å and the angles 110.66°, 99.63° and 106.95°. The distinct sites, in fractional coordinates, are Se at (0.000, 0.000, 0.000), Se at (0.119, 0.394, 0.056), I at (0.608, 0.712, 0.588), I at (0.834, 0.464, 0.761), F at (0.252, 0.083, 0.227), F at (0.312, 0.150, 0.906), F at (0.714, 0.954, 0.103) and F at (0.909, 0.499, 0.199).

Its energy relative to the elements, uncorrected is -0.946 eV/atom.


Record 3
Here is an optimized crystal structure of Se2I2F from the Alexandria database. Energies are from PBE.

The structure belongs to space group P4/mbm (No. 127); the cell edges are 7.571, 7.571 and 4.220 Å and the angles 90.00°, 90.00° and 90.00°. The distinct sites, in fractional coordinates, are Se at (0.142, 0.358, 0.000), I at (0.175, 0.675, 0.500) and F at (0.000, 0.000, 0.000).

Its energy relative to the elements, uncorrected is 0.166 eV/atom.


Record 4
Here is an optimized crystal structure of Se2I2F from the Alexandria database. Energies are from PBE.

The structure belongs to space group I4/mmm (No. 139); the cell edges are 4.849, 4.849 and 13.295 Å and the angles 90.00°, 90.00° and 90.00°. The distinct sites, in fractional coordinates, are Se at (0.000, 0.000, 0.080), I at (0.000, 0.500, 0.250) and F at (0.000, 0.000, 0.500).

Its energy relative to the elements, uncorrected is 0.173 eV/atom.


Record 5
Here is an optimized crystal structure of SeIF2 from the Alexandria database. Energies are from PBE.

The structure belongs to space group P1 (No. 1); the cell edges are 3.557, 5.754 and 6.226 Å and the angles 103.66°, 106.52° and 90.32°. The distinct sites, in fractional coordinates, are Se at (0.000, 0.000, 0.000), I at (0.095, 0.666, 0.195), F at (0.152, 0.239, 0.302) and F at (0.853, 0.786, 0.707).

Its energy relative to the elements, uncorrected is -0.896 eV/atom.


Record 6
Here is an optimized crystal structure of SeI2F from the Alexandria database. Energies are from PBE.

The structure belongs to space group Fm-3m (No. 225); the cell edges are 7.225, 7.225 and 7.225 Å and the angles 90.00°, 90.00° and 90.00°. The distinct sites, in fractional coordinates, are Se at (0.000, 0.000, 0.000), I at (0.250, 0.250, 0.250) and F at (0.000, 0.000, 0.500).

Its energy relative to the elements, uncorrected is 0.145 eV/atom.


Record 7
Here is an optimized crystal structure of SeIF2 from the Alexandria database. Energies are from PBE.

The structure belongs to space group P1 (No. 1); the cell edges are 5.769, 6.262 and 7.761 Å and the angles 103.66°, 102.21° and 111.54°. The distinct sites, in fractional coordinates, are Se at (0.000, 0.000, 0.000), Se at (0.067, 0.659, 0.792), I at (0.068, 0.758, 0.490), I at (0.461, 0.322, 0.210), F at (0.019, 0.792, 0.158), F at (0.440, 0.851, 0.893), F at (0.695, 0.507, 0.704) and F at (0.992, 0.157, 0.824).

Its energy relative to the elements, uncorrected is -1.000 eV/atom.


Record 8
Here is an optimized crystal structure of SeIF2 from the Alexandria database. Energies are from PBE.

The structure belongs to space group R-3m (No. 166, hexagonal axes); the cell edges are 3.1981, 3.1981 and 29.9554 Å and the angles 90.00°, 90.00° and 120.00°. The distinct sites, in fractional coordinates, are Se at (0.0000, 0.0000, 0.0000), I at (0.0000, 0.0000, 0.5000) and F at (0.0000, 0.0000, 0.0622).

Its energy relative to the elements, uncorrected is -0.731 eV/atom.


Record 9
Here is an optimized crystal structure of SeIF2 from the Alexandria database. Energies are from PBE.

The structure belongs to space group Cm (No. 8); the cell edges are 6.397, 7.034 and 4.692 Å and the angles 90.00°, 96.71° and 90.00°. The distinct sites, in fractional coordinates, are Se at (0.000, 0.000, 0.000), I at (0.221, 0.000, 0.488) and F at (0.007, 0.272, 0.990).

Its energy relative to the elements, uncorrected is -0.909 eV/atom.


Record 10
Here is an optimized crystal structure of SeIF3 from the Alexandria database. Energies are from PBE.

The structure belongs to space group Pmn2_1 (No. 31); the cell edges are 7.724, 5.337 and 5.864 Å and the angles 90.00°, 90.00° and 90.00°. The distinct sites, in fractional coordinates, are Se at (0.000, 0.006, 0.000), I at (0.000, 0.385, 0.699), F at (0.000, 0.784, 0.242) and F at (0.176, 0.150, 0.141).

Its energy relative to the elements, uncorrected is -1.138 eV/atom.


Record 11
Here is an optimized crystal structure of SeIF2 from the Alexandria database. Energies are from PBE.

The structure belongs to space group P1 (No. 1); the cell edges are 6.133, 6.391 and 7.394 Å and the angles 105.87°, 100.19° and 116.80°. The distinct sites, in fractional coordinates, are Se at (0.000, 0.000, 0.000), Se at (0.137, 0.186, 0.783), I at (0.086, 0.691, 0.447), I at (0.526, 0.345, 0.272), F at (0.189, 0.501, 0.901), F at (0.454, 0.324, 0.524), F at (0.557, 0.356, 0.991) and F at (0.814, 0.066, 0.620).

Its energy relative to the elements, uncorrected is -0.896 eV/atom.


Record 12
Here is an optimized crystal structure of SeIF3 from the Alexandria database. Energies are from PBE.

The structure belongs to space group Pm-3m (No. 221); the cell edges are 4.665, 4.665 and 4.665 Å and the angles 90.00°, 90.00° and 90.00°. The distinct sites, in fractional coordinates, are Se at (0.000, 0.000, 0.000), I at (0.500, 0.500, 0.500) and F at (0.000, 0.500, 0.500).

Its energy relative to the elements, uncorrected is -0.330 eV/atom.


Record 13
Here is an optimized crystal structure of SeIF2 from the Alexandria database. Energies are from PBE.

The structure belongs to space group P1 (No. 1); the cell edges are 4.838, 5.680 and 8.925 Å and the angles 86.07°, 78.17° and 71.44°. The distinct sites, in fractional coordinates, are Se at (0.000, 0.000, 0.000), Se at (0.435, 0.680, 0.874), I at (0.348, 0.816, 0.531), I at (0.513, 0.316, 0.457), F at (0.023, 0.170, 0.810), F at (0.024, 0.835, 0.184), F at (0.167, 0.200, 0.064) and F at (0.545, 0.527, 0.048).

Its energy relative to the elements, uncorrected is -0.947 eV/atom.


Record 14
Here is an optimized crystal structure of SeIF2 from the Alexandria database. Energies are from PBE.

The structure belongs to space group Fm-3m (No. 225); the cell edges are 6.367, 6.367 and 6.367 Å and the angles 90.00°, 90.00° and 90.00°. The distinct sites, in fractional coordinates, are Se at (0.000, 0.000, 0.000), I at (0.000, 0.000, 0.500) and F at (0.250, 0.250, 0.250).

Its energy relative to the elements, uncorrected is -0.151 eV/atom.


Number 1: size of the total moment 0.000 μB/atom, calculated density 3.2 g cm⁻³, relative energy among the computed polymorphs 47 meV/atom. Number 2: size of the total moment 0.000 μB/atom, calculated density 3.4 g cm⁻³, relative energy among the computed polymorphs 54 meV/atom. Number 3: size of the total moment 0.000 μB/atom, calculated density 5.9 g cm⁻³, relative energy among the computed polymorphs 0 meV/atom. Number 4: size of the total moment 0.000 μB/atom, calculated density 4.6 g cm⁻³, relative energy among the computed polymorphs 7 meV/atom. Number 5: size of the total moment 0.000 μB/atom, calculated density 3.4 g cm⁻³, relative energy among the computed polymorphs 103 meV/atom. Number 6: size of the total moment 0.000 μB/atom, calculated density 6.2 g cm⁻³, relative energy among the computed polymorphs 608 meV/atom. Number 7: size of the total moment 0.000 μB/atom, calculated density 3.4 g cm⁻³, relative energy among the computed polymorphs 0 meV/atom. Number 8: size of the total moment 0.055 μB/atom, calculated density 4.6 g cm⁻³, relative energy among the computed polymorphs 269 meV/atom. Number 9: size of the total moment 0.000 μB/atom, calculated density 3.9 g cm⁻³, relative energy among the computed polymorphs 91 meV/atom. Number 10: size of the total moment 0.000 μB/atom, calculated density 3.6 g cm⁻³, relative energy among the computed polymorphs 0 meV/atom. Number 11: size of the total moment 0.000 μB/atom, calculated density 3.5 g cm⁻³, relative energy among the computed polymorphs 104 meV/atom. Number 12: size of the total moment 0.457 μB/atom, calculated density 4.3 g cm⁻³, relative energy among the computed polymorphs 809 meV/atom. Number 13: size of the total moment 0.000 μB/atom, calculated density 3.6 g cm⁻³, relative energy among the computed polymorphs 53 meV/atom. Number 14: size of the total moment 0.000 μB/atom, calculated density 6.3 g cm⁻³, relative energy among the computed polymorphs 849 meV/atom.